Here is a geometry-optimized KCuReSn2 structure from Alexandria via LeMat-Bulk. Energies are from PBE.

Unit cell a=5.162 b=5.162 c=5.107 alpha=90.00 beta=90.00 gamma=90.00
Fractional positions:
K: 0.000 0.000 0.000
Cu: 0.500 0.500 0.000
Re: 0.500 0.500 0.500
Sn: 0.000 0.500 0.500
Sn: 0.500 0.000 0.500

## Properties
ΔH_f (0 K): 0.345 eV per atom
volume: 27.221 Å³/atom
E: -4.78 eV/atom
space group: P4/mmm (123)